InBi2SeF PBEsol relaxed; density = 6.38 g/cm³; volume = 164 Å³/cell; E_tot = -3.1127 eV per atom; formation energy without anion corrections = 354 meV per atom
1.0
5.6566 0.0000 0.0000
0.0000 5.6566 0.0000
0.0000 0.0000 5.1277
In Bi Se F
1 2 1 1
Cartesian
0.0000 0.0000 0.0000 In
0.0000 2.8283 0.0000 Bi
2.8283 0.0000 0.0000 Bi
0.0000 0.0000 2.5638 Se
2.8283 2.8283 2.5638 F



BaMg PBEsol relaxed; density = 3.45 g/cm³; volume = 156 Å³/cell; E_tot = -1.9589 eV per atom
1.0
-2.0592 3.0666 6.1587
2.0592 -3.0666 6.1587
2.0592 3.0666 -6.1587
Ba Mg
2 2
Cartesian
0.0000 1.5333 1.2247 Ba
2.0592 1.5333 4.9340 Ba
2.0592 1.5333 -1.9445 Mg
0.0000 1.5333 8.1033 Mg



BeWSe2 PBEsol relaxed; density = 8.98 g/cm³; volume = 65 Å³/cell; E_tot = -5.8344 eV per atom; formation energy without anion corrections = 543 meV per atom
1.0
1.5704 -2.8247 0.0000
1.5704 2.8247 0.0000
0.0000 0.0000 7.3072
Be W Se
1 1 2
Cartesian
0.0000 0.0000 0.0000 Be
0.0000 0.0000 3.6536 W
1.5704 0.0000 1.6357 Se
1.5704 0.0000 5.6714 Se



Sc2TeSe PBEsol relaxed; density = 5.60 g/cm³; relative energy among the computed polymorphs = 0.000 eV/atom; volume = 88 Å³/cell; E_tot = -6.5833 eV per atom; formation energy without anion corrections = -1437 meV per atom
1.0
1.9706 1.1377 6.5335
-1.9706 1.1377 6.5335
0.0000 -2.2754 6.5335
Sc Te Se
2 1 1
Cartesian
0.0000 0.0000 4.6393 Sc
0.0000 0.0000 14.9612 Sc
0.0000 0.0000 0.0000 Te
0.0000 0.0000 9.8002 Se